Entry 1:
Material: MgVRh2
Method: DFT, PBE
State: relaxed

POSCAR file:
```
MgVRh2
1.0
6.828 0.000 0.000
0.000 6.828 0.000
0.000 0.000 5.599
Mg V Rh
4 4 8
direct
0.000 0.000 0.000
0.000 0.500 0.250
0.500 0.000 0.750
0.500 0.500 0.500
0.000 0.000 0.500
0.000 0.500 0.750
0.500 0.000 0.250
0.500 0.500 0.000
0.208 0.250 0.625
0.250 0.708 0.875
0.250 0.792 0.375
0.292 0.250 0.125
0.708 0.750 0.125
0.750 0.208 0.375
0.750 0.292 0.875
0.792 0.750 0.625
```

Output
**Energy relative to the elements**: -0.040 eV per atom
**Space-group type**: I-42d


Entry 2:
Material: LiMnW2
Method: DFT, PBE
State: relaxed

POSCAR file:
```
LiMnW2
1.0
3.152 0.000 0.000
0.000 3.152 0.000
0.000 0.000 5.488
Li Mn W
1 1 2
direct
0.000 0.000 0.000
0.500 0.500 0.215
0.000 0.000 0.474
0.500 0.500 0.760
```

Output
**Energy relative to the elements**: 0.477 eV per atom
**Space-group type**: P4mm
**Distance to the lowest polymorph of the same formula**: 144.7 meV per atom


Entry 3:
Material: SnGeTe2I
Method: DFT, PBE
State: relaxed

POSCAR file:
```
SnGeTe2I
1.0
5.749 0.000 0.000
0.000 5.749 0.000
0.000 0.000 5.809
Sn Ge Te I
1 1 2 1
direct
0.000 0.000 0.000
0.500 0.500 0.500
0.000 0.500 0.000
0.500 0.000 0.000
0.000 0.000 0.500
```

Output
**Formation energy from raw total energies**: 2.6 eV/f.u.
**Space-group type**: P4/mmm
**Distance to the lowest polymorph of the same formula**: 296.1 meV per atom


Entry 4:
Material: Pr15SmDy4
Method: DFT, PBE
State: relaxed

POSCAR file:
```
Pr15SmDy4
1.0
5.207 0.000 0.000
0.000 5.207 0.000
0.000 0.000 25.908
Pr Sm Dy
15 1 4
direct
0.000 0.000 0.000
0.000 0.000 0.201
0.000 0.000 0.400
0.000 0.000 0.600
0.000 0.000 0.799
0.000 0.500 0.101
0.000 0.500 0.301
0.000 0.500 0.500
0.000 0.500 0.699
0.000 0.500 0.899
0.500 0.000 0.101
0.500 0.000 0.301
0.500 0.000 0.500
0.500 0.000 0.699
0.500 0.000 0.899
0.500 0.500 0.000
0.500 0.500 0.201
0.500 0.500 0.400
0.500 0.500 0.600
0.500 0.500 0.799
```

Output
**Energy relative to the elements**: 0.011 eV per atom
**Space-group type**: P4/mmm


Entry 5:
Material: Ce3SmSc2Se6
Method: DFT, PBE
State: relaxed

POSCAR file:
```
Ce3SmSc2Se6
1.0
3.523 -6.106 0.000
3.523 6.106 0.000
-2.359 0.000 6.757
Ce Sm Sc Se
3 1 2 6
direct
0.000 0.000 0.000
0.340 0.660 0.000
0.660 0.340 0.000
0.500 0.500 0.500
0.168 0.832 0.500
0.832 0.168 0.500
0.075 0.422 0.267
0.227 0.227 0.726
0.422 0.075 0.267
0.578 0.925 0.733
0.773 0.773 0.274
0.925 0.578 0.733
```

Output
**Formation energy from raw total energies**: -20.8 eV/f.u.
**Space-group type**: C2/m


Entry 6:
Material: InMo2Rh
Method: DFT, PBE
State: relaxed

POSCAR file:
```
InMo2Rh
1.0
3.736 0.000 0.000
0.000 3.736 0.000
0.000 0.000 20.225
In Mo Rh
4 8 4
direct
0.000 0.000 0.000
0.000 0.500 0.250
0.500 0.000 0.750
0.500 0.500 0.500
0.246 0.250 0.125
0.250 0.746 0.375
0.250 0.754 0.875
0.254 0.250 0.625
0.746 0.750 0.625
0.750 0.246 0.875
0.750 0.254 0.375
0.754 0.750 0.125
0.000 0.000 0.500
0.000 0.500 0.750
0.500 0.000 0.250
0.500 0.500 0.000
```

Output
**Energy relative to the elements**: 0.491 eV per atom
**Space-group type**: I-42d


no.,N(E_F) (states/eV per cell),total magnetic moment (μB per formula unit)
1,11.926,0.00
2,3.892,0.00
3,1.935,0.00
4,28.311,0.00
5,19.810,3.00
6,10.671,0.00